(1)
Material: Sm3Ag4Sn4
Method: DFT, GGA-PBEsol
State: optimized geometry

Summary:
Formation energy in meV/atom: -584
Crystal system: orthorhombic
M_tot in μB/f.u.: 0.0

Lattice parameters (Å, degrees): 4.565 7.269 8.729 114.60 105.16 90.00
Positions (direct):
Sm: 0.871 0.371 0.743
Sm: 0.129 0.629 0.257
Sm: 0.000 0.000 0.000
Ag: 0.329 0.634 0.658
Ag: 0.671 0.366 0.342
Ag: 0.329 0.025 0.658
Ag: 0.671 0.975 0.342
Sn: 0.216 0.216 0.431
Sn: 0.784 0.784 0.569
Sn: 0.500 0.696 0.000
Sn: 0.500 0.304 0.000

***

(2)
Material: Mg2OsRu
Method: DFT, GGA-PBEsol
State: optimized geometry

Summary:
Formation energy in meV/atom: 205
Crystal system: cubic
M_tot in μB/f.u.: 0.0

Lattice parameters (Å, degrees): 4.379 4.379 4.379 60.00 60.00 60.00
Positions (direct):
Mg: 0.000 0.000 0.000
Mg: 0.750 0.750 0.750
Os: 0.500 0.500 0.500
Ru: 0.250 0.250 0.250

***

(3)
Material: LiIn2ReH
Method: DFT, GGA-PBEsol
State: optimized geometry

Summary:
Crystal system: tetragonal
E in Ry per atom: -0.337
M_tot in μB/f.u.: 0.0

Lattice parameters (Å, degrees): 3.461 4.655 4.655 90.00 90.00 90.00
Positions (direct):
Re: 0.500 0.000 0.000
Li: 0.500 0.500 0.500
H: 0.000 0.000 0.000
In: 0.000 0.000 0.500
In: 0.000 0.500 0.000